Entry 1:
# AcCdGe2

AcCdGe2 after structural relaxation (PBE, Alexandria via LeMat-Bulk).

## Properties
For the offset from the most stable computed form, the calculation gives 0.0 meV/atom. As for the density of states at the Fermi level: 0.292 states/eV per atom.

a b c (Å): 7.606 4.803 11.238
angles (deg): 90.00 90.00 90.00
Fractional positions:
Ac 0.148 0.250 0.134
Ac 0.352 0.750 0.634
Ac 0.648 0.250 0.366
Ac 0.852 0.750 0.866
Cd 0.009 0.250 0.622
Cd 0.491 0.750 0.122
Cd 0.509 0.250 0.878
Cd 0.991 0.750 0.378
Ge 0.152 0.250 0.845
Ge 0.215 0.250 0.419
Ge 0.285 0.750 0.919
Ge 0.348 0.750 0.345
Ge 0.652 0.250 0.655
Ge 0.715 0.250 0.081
Ge 0.785 0.750 0.581
Ge 0.848 0.750 0.155

---

Entry 2:
# Si2NiHg

Si2NiHg after structural relaxation (PBE, Alexandria via LeMat-Bulk).

## Properties
As for the density of states at the Fermi level: 0.436 states/eV per atom. The formation energy from raw total energies is 0.48 eV/atom.

a b c (Å): 4.336 4.336 3.589
angles (deg): 90.00 90.00 107.28
Fractional positions:
Si 0.000 0.500 0.000
Si 0.500 0.000 0.000
Ni 0.000 0.000 0.500
Hg 0.500 0.500 0.500

---

Entry 3:
# SrYBi2

SrYBi2 after structural relaxation (PBE, Alexandria via LeMat-Bulk).

## Properties
For the offset from the most stable computed form, the calculation gives 135.1 meV/atom. As for the density of states at the Fermi level: 0.820 states/eV per atom.

a b c (Å): 5.683 5.683 5.683
angles (deg): 60.00 60.00 60.00
Fractional positions:
Sr 0.000 0.000 0.000
Y 0.500 0.500 0.500
Bi 0.250 0.250 0.250
Bi 0.750 0.750 0.750

---

Entry 4:
# Dy2TmMn

Dy2TmMn after structural relaxation (PBE, Alexandria via LeMat-Bulk).

## Properties
For the offset from the most stable computed form, the calculation gives 380.1 meV/atom. As for the density of states at the Fermi level: 1.183 states/eV per atom.

a b c (Å): 11.413 11.413 11.413
angles (deg): 16.99 16.99 16.99
Fractional positions:
Dy 0.082 0.082 0.082
Dy 0.918 0.918 0.918
Tm 0.500 0.500 0.500
Mn 0.000 0.000 0.000

---

Entry 5:
# Tb7Sm3Y

Tb7Sm3Y after structural relaxation (PBE, Alexandria via LeMat-Bulk).

## Properties
For the offset from the most stable computed form, the calculation gives 41.8 meV/atom. As for the density of states at the Fermi level: 1.535 states/eV per atom.

a b c (Å): 7.097 7.097 8.671
angles (deg): 90.00 90.00 120.00
Fractional positions:
Tb 0.000 0.000 0.000
Tb 0.166 0.331 0.674
Tb 0.166 0.834 0.674
Tb 0.501 0.001 0.004
Tb 0.501 0.499 0.004
Tb 0.669 0.834 0.674
Tb 0.999 0.499 0.004
Sm 0.333 0.166 0.339
Sm 0.834 0.166 0.339
Sm 0.834 0.667 0.339
Y 0.667 0.333 0.678

---

Entry 6:
# Mg17Zn11Ni

Mg17Zn11Ni after structural relaxation (PBE, Alexandria via LeMat-Bulk).

## Properties
The raw total energy is -1.7033 eV/atom. As for the density of states at the Fermi level: 0.326 states/eV per atom.

a b c (Å): 8.660 8.660 8.687
angles (deg): 106.87 106.87 107.15
Fractional positions:
Mg 0.000 0.000 0.000
Mg 0.005 0.005 0.627
Mg 0.007 0.364 0.632
Mg 0.311 0.697 0.331
Mg 0.339 0.988 0.211
Mg 0.341 0.574 0.625
Mg 0.364 0.007 0.632
Mg 0.371 0.371 0.270
Mg 0.374 0.626 0.999
Mg 0.574 0.341 0.625
Mg 0.582 0.992 0.969
Mg 0.626 0.374 0.999
Mg 0.695 0.695 0.937
Mg 0.696 0.696 0.331
Mg 0.697 0.311 0.331
Mg 0.988 0.339 0.211
Mg 0.992 0.582 0.969
Zn 0.023 0.832 0.276
Zn 0.029 0.649 0.469
Zn 0.129 0.316 0.945
Zn 0.186 0.186 0.434
Zn 0.189 0.791 0.820
Zn 0.316 0.129 0.945
Zn 0.649 0.029 0.469
Zn 0.649 0.838 0.659
Zn 0.791 0.189 0.820
Zn 0.832 0.023 0.276
Zn 0.838 0.649 0.659
Ni 0.314 0.314 0.758

---

Entry 7:
# BaRu2O

BaRu2O after structural relaxation (PBE, Alexandria via LeMat-Bulk).

## Properties
As for the density of states at the Fermi level: 0.358 states/eV per atom. The formation energy from raw total energies is 0.01 eV/atom.

a b c (Å): 6.267 6.267 6.267
angles (deg): 60.00 60.00 60.00
Fractional positions:
Ba 0.125 0.125 0.125
Ba 0.875 0.875 0.875
Ru 0.000 0.500 0.500
Ru 0.500 0.000 0.500
Ru 0.500 0.500 0.000
Ru 0.500 0.500 0.500
O 0.375 0.375 0.375
O 0.625 0.625 0.625

---

Entry 8:
# CsCr2Se4

CsCr2Se4 after structural relaxation (PBE, Alexandria via LeMat-Bulk).

## Properties
As for the density of states at the Fermi level: 0.439 states/eV per atom. The formation energy from raw total energies is -0.71 eV/atom.

a b c (Å): 9.182 9.182 6.155
angles (deg): 105.64 105.64 23.39
Fractional positions:
Cs 0.000 0.000 0.000
Cr 0.251 0.251 0.265
Cr 0.749 0.749 0.735
Se 0.164 0.164 0.519
Se 0.327 0.327 0.974
Se 0.673 0.673 0.026
Se 0.836 0.836 0.481

---

Number 3 is which compound?
SrYBi2

---

Copy entry 5 word for word.
# Tb7Sm3Y

Tb7Sm3Y after structural relaxation (PBE, Alexandria via LeMat-Bulk).

## Properties
For the offset from the most stable computed form, the calculation gives 41.8 meV/atom. As for the density of states at the Fermi level: 1.535 states/eV per atom.

a b c (Å): 7.097 7.097 8.671
angles (deg): 90.00 90.00 120.00
Fractional positions:
Tb 0.000 0.000 0.000
Tb 0.166 0.331 0.674
Tb 0.166 0.834 0.674
Tb 0.501 0.001 0.004
Tb 0.501 0.499 0.004
Tb 0.669 0.834 0.674
Tb 0.999 0.499 0.004
Sm 0.333 0.166 0.339
Sm 0.834 0.166 0.339
Sm 0.834 0.667 0.339
Y 0.667 0.333 0.678